TlZn2Se | PBE-GGA | relaxed

Lattice parameters (Å, degrees): 4.4177 4.4925 4.4925 90.00 90.00 90.00
Fractional positions:
Se: 0.5000 0.5000 0.0000
Tl: 0.5000 0.0000 0.5000
Zn: 0.0000 0.0000 0.0000
Zn: 0.0000 0.5000 0.5000

**Energy relative to the lowest polymorph listed for this composition**: 0.955 eV per formula unit
**Volume**: 22.29 Å³ per atom
**Final energy**: -1.960 eV/atom